(1)
A plane-wave DFT calculation with PBE was carried out for crystalline Ca2PrNdSe4 at its relaxed geometry.

Lattice parameters (Å, degrees): 4.193 7.255 7.424 109.05 90.00 90.00
Positions (direct):
Se  0.000  0.754  0.258
Ca  0.000  0.500  0.500
Nd  0.000  0.000  0.000
Ca  0.500  0.000  0.500
Se  0.000  0.246  0.742
Pr  0.500  0.500  0.000
Se  0.500  0.251  0.257
Se  0.500  0.749  0.743

Space group = P2/m, No. 10
Theoretical density = 5.3 Mg/m³
Total magnetic moment = 0.0 Bohr magnetons per cell
Crystal system = monoclinic
ΔE_f (raw) = -1906 meV per atom



(2)
A plane-wave DFT calculation with PBE was carried out for crystalline CsPI2Br at its relaxed geometry.

Lattice parameters (Å, degrees): 6.991 4.714 6.991 90.00 90.00 90.00
Site moments in Bohr magnetons follow the coordinates.
Positions (direct):
Br  0.000  0.000  0.000  -0.03
Cs  0.500  0.500  0.500  0.00
I  0.000  0.000  0.500  -0.07
P  0.000  0.500  0.000  0.06
I  0.500  0.000  0.000  -0.01

Space group = P4/mmm, No. 123
Theoretical density = 3.6 Mg/m³
Total magnetic moment = 0.0 Bohr magnetons per cell
Crystal system = tetragonal
ΔE_f (raw) = 21 meV per atom



(3)
A plane-wave DFT calculation with PBE was carried out for crystalline FeAsRh2 at its relaxed geometry.

Lattice parameters (Å, degrees): 8.324 8.324 8.324 19.61 19.61 19.61
Site moments in Bohr magnetons follow the coordinates.
Positions (direct):
Rh  0.244  0.244  0.244  0.07
Fe  0.753  0.753  0.753  2.59
Rh  0.004  0.004  0.004  0.70
As  0.499  0.499  0.499  -0.02

Space group = R3m, No. 160
Theoretical density = 9.8 Mg/m³
E_form = 0.043 eV per atom
Total magnetic moment = 3.3 Bohr magnetons per cell
Crystal system = trigonal



(4)
A plane-wave DFT calculation with PBE was carried out for crystalline BaNaAc2 at its relaxed geometry.

Lattice parameters (Å, degrees): 4.008 4.008 13.670 81.57 81.57 60.00
Positions (direct):
Ac  0.080  0.080  0.761
Na  0.667  0.667  0.000
Ac  0.254  0.254  0.239
Ba  0.500  0.500  0.500

Space group = R3m, No. 160
Theoretical density = 5.4 Mg/m³
E_form = 0.156 eV per atom
Total magnetic moment = 0.0 Bohr magnetons per cell
Offset from the most stable computed form = 0 meV/atom
Crystal system = trigonal



(5)
A plane-wave DFT calculation with PBE was carried out for crystalline Pr3Zn4Cd2 at its relaxed geometry.

Lattice parameters (Å, degrees): 4.797 5.985 9.009 113.66 90.00 113.62
Positions (direct):
Pr  0.000  0.000  0.000
Pr  0.336  0.672  0.327
Cd  0.618  0.236  0.284
Zn  0.057  0.113  0.396
Zn  0.943  0.887  0.604
Zn  0.273  0.545  0.946
Pr  0.664  0.328  0.673
Zn  0.727  0.455  0.054
Cd  0.382  0.764  0.716

Space group = C2/m, No. 12
Theoretical density = 7.1 Mg/m³
E_form = -0.318 eV per atom
Total magnetic moment = 0.0 Bohr magnetons per cell
Crystal system = monoclinic



(6)
A plane-wave DFT calculation with PBE was carried out for crystalline LaMgCl2 at its relaxed geometry.

Lattice parameters (Å, degrees): 9.446 9.446 9.446 22.06 22.06 22.06
Positions (direct):
La  0.000  0.000  0.000
Mg  0.500  0.500  0.500
Cl  0.884  0.884  0.884
Cl  0.116  0.116  0.116

Space group = R-3m, No. 166
Theoretical density = 3.7 Mg/m³
Total magnetic moment = 0.0 Bohr magnetons per cell
Offset from the most stable computed form = 203 meV/atom
Crystal system = trigonal
ΔE_f (raw) = -1133 meV per atom



(7)
A plane-wave DFT calculation with PBE was carried out for crystalline Dy8InTe2 at its relaxed geometry.

Lattice parameters (Å, degrees): 5.839 8.127 8.127 116.00 98.02 98.02
Positions (direct):
Dy  0.500  0.240  0.760
Dy  0.500  0.760  0.240
Dy  0.698  0.396  0.396
Dy  0.133  0.317  0.084
Dy  0.867  0.683  0.916
Dy  0.133  0.084  0.317
Dy  0.302  0.604  0.604
Dy  0.867  0.916  0.683
Te  0.000  0.307  0.693
In  0.500  0.000  0.000
Te  0.000  0.693  0.307

Space group = C2/m, No. 12
Theoretical density = 8.3 Mg/m³
Total magnetic moment = 0.0 Bohr magnetons per cell
Crystal system = monoclinic
ΔE_f (raw) = -403 meV per atom



(8)
A plane-wave DFT calculation with PBE was carried out for crystalline BaCd2CuGe at its relaxed geometry.

Lattice parameters (Å, degrees): 5.117 5.117 4.982 90.00 90.00 90.00
Positions (direct):
Ba  0.500  0.500  0.500
Ge  0.000  0.000  0.500
Cd  0.000  0.500  0.000
Cd  0.500  0.000  0.000
Cu  0.000  0.000  0.000

Space group = P4/mmm, No. 123
Theoretical density = 6.3 Mg/m³
E_form = -0.101 eV per atom
Total magnetic moment = 0.0 Bohr magnetons per cell
Crystal system = tetragonal



(9)
A plane-wave DFT calculation with PBE was carried out for crystalline Dy4Er8Tm3 at its relaxed geometry.

Lattice parameters (Å, degrees): 6.632 9.168 9.168 87.98 111.26 111.26
Positions (direct):
Dy  0.500  0.000  0.000
Tm  0.500  0.500  0.000
Er  0.524  0.266  0.266
Tm  0.500  0.500  0.500
Dy  0.000  0.000  0.500
Dy  0.000  0.000  0.000
Er  0.476  0.734  0.734
Er  0.500  0.748  0.252
Er  0.000  0.361  0.639
Tm  0.500  0.000  0.500
Er  0.000  0.639  0.361
Dy  0.000  0.500  0.000
Er  0.005  0.268  0.268
Er  0.995  0.732  0.732
Er  0.500  0.252  0.748

Space group = C2/m, No. 12
Theoretical density = 8.6 Mg/m³
E_form = 0.408 eV per atom
Total magnetic moment = 0.0 Bohr magnetons per cell
Offset from the most stable computed form = 265 meV/atom
Crystal system = monoclinic



(10)
A plane-wave DFT calculation with PBE was carried out for crystalline Y4HfIr5 at its relaxed geometry.

Lattice parameters (Å, degrees): 3.342 3.342 17.681 90.00 90.00 90.00
Positions (direct):
Hf  0.000  0.000  0.000
Y  0.000  0.000  0.195
Y  0.000  0.000  0.398
Y  0.000  0.000  0.805
Ir  0.500  0.500  0.500
Ir  0.500  0.500  0.914
Y  0.000  0.000  0.602
Ir  0.500  0.500  0.705
Ir  0.500  0.500  0.295
Ir  0.500  0.500  0.086

Space group = P4/mmm, No. 123
Theoretical density = 12.6 Mg/m³
E_form = -0.818 eV per atom
Total magnetic moment = 0.0 Bohr magnetons per cell
Crystal system = tetragonal



(11)
A plane-wave DFT calculation with PBE was carried out for crystalline La3Pm3Sm2 at its relaxed geometry.

Lattice parameters (Å, degrees): 5.193 5.211 11.049 103.64 103.59 90.00
Positions (direct):
Pm  0.127  0.127  0.255
La  0.625  0.625  0.250
Sm  0.251  0.751  0.502
La  0.375  0.375  0.750
La  0.500  0.000  0.000
Pm  0.000  0.500  0.000
Pm  0.873  0.873  0.745
Sm  0.749  0.249  0.498

Space group = Immm, No. 71
Theoretical density = 6.8 Mg/m³
E_form = 0.018 eV per atom
Total magnetic moment = 0.0 Bohr magnetons per cell
Crystal system = orthorhombic



(12)
A plane-wave DFT calculation with PBE was carried out for crystalline Li3PrTm2S6 at its relaxed geometry.

Lattice parameters (Å, degrees): 6.829 6.829 6.585 99.86 99.86 120.06
Positions (direct):
S  0.083  0.430  0.250
Li  0.500  0.500  0.500
Li  0.172  0.828  0.500
Pr  0.000  0.000  0.000
S  0.570  0.917  0.750
S  0.430  0.083  0.250
S  0.917  0.570  0.750
Tm  0.666  0.334  0.000
S  0.264  0.264  0.748
S  0.736  0.736  0.252
Li  0.828  0.172  0.500
Tm  0.334  0.666  0.000

Space group = C2/m, No. 12
Theoretical density = 4.6 Mg/m³
Total magnetic moment = 0.0 Bohr magnetons per cell
Crystal system = monoclinic
ΔE_f (raw) = -1822 meV per atom